# 1
First-principles (PBE) data for Tb6Mg2N after structural relaxation, as listed in the Alexandria database.

Properties
* raw formation energy: -351.5 meV/atom
* final energy: -4.718 eV/atom
* spin magnetization: 0.0 Bohr magnetons per cell

Lattice parameters (Å, degrees): 7.0006 7.0088 9.8477 90.00 89.96 90.00
With the nearest neighbours (Å) after each atom.
Element x y z (fractional)
Mg: 0.5003 0.0002 0.7505  10 Tb 3.24-3.63
Mg: 0.4997 0.9998 0.2495  10 Tb 3.24-3.63
Tb: 0.2431 0.2435 0.4814  1 N 2.42
Mg: 0.9997 0.5002 0.7495  10 Tb 3.24-3.63
Tb: 0.5374 0.5000 0.2433  1 N 2.41
Tb: 0.7569 0.7565 0.5186  1 N 2.42
Tb: 0.7431 0.2565 0.9814  1 N 2.42
Tb: 0.2569 0.7435 0.0186  1 N 2.42
Tb: 0.2571 0.2564 0.0186  1 N 2.42
Tb: 0.9626 0.0000 0.2567  1 N 2.41
Tb: 0.7429 0.7436 0.9814  1 N 2.42
N: 0.5000 0.5000 0.0000  6 Tb 2.41-2.42
N: 0.0000 0.0000 0.5000  6 Tb 2.41-2.42
Tb: 0.7571 0.2436 0.5186  1 N 2.42
Mg: 0.0003 0.4998 0.2505  10 Tb 3.24-3.63
Tb: 0.0374 0.0000 0.7433  1 N 2.41
Tb: 0.4626 0.5000 0.7567  1 N 2.41
Tb: 0.2429 0.7564 0.4814  1 N 2.42



# 2
First-principles (PBE) data for SrBiTeI2 after structural relaxation, as listed in the Alexandria database.

Properties
* raw formation energy: -260.2 meV/atom
* final energy: -2.621 eV/atom
* spin magnetization: 1.0 Bohr magnetons per cell
* energy above the lowest structure with this stoichiometry: 5.23 kcal/mol of atoms

Lattice parameters (Å, degrees): 6.1448 6.1448 6.5904 90.00 90.00 90.00
With the nearest neighbours (Å) after each atom.
Element x y z (fractional)
I: 0.5000 0.0000 0.0000  2 Sr 3.07
Bi: 0.5000 0.5000 0.5000  4 Te 4.35, 8 I 4.51
Te: 0.0000 0.0000 0.5000  2 Sr 3.30
Sr: 0.0000 0.0000 0.0000  4 I 3.07, 2 Te 3.30
I: 0.0000 0.5000 0.0000  2 Sr 3.07



# 3
First-principles (PBE) data for ScC2 after structural relaxation, as listed in the Alexandria database.

Properties
* final energy: -6.595 eV/atom
* DFT formation energy: 1.66 eV/atom
* spin magnetization: 0.0 Bohr magnetons per cell

Lattice parameters (Å, degrees): 4.3392 4.3392 4.3392 60.00 60.00 60.00
With the nearest neighbours (Å) after each atom.
Element x y z (fractional)
C: 0.1250 0.6250 0.1250  6 C 2.17
C: 0.6250 0.1250 0.1250  6 C 2.17
Sc: 0.5000 0.5000 0.5000  12 C 2.54, 4 Sc 2.66
C: 0.1250 0.1250 0.1250  6 C 2.17
Sc: 0.7500 0.7500 0.7500  12 C 2.54, 4 Sc 2.66
C: 0.1250 0.1250 0.6250  6 C 2.17



# 4
First-principles (PBE) data for CeHoPb after structural relaxation, as listed in the Alexandria database.

Properties
* final energy: -5.152 eV/atom
* DFT formation energy: -0.41 eV/atom
* spin magnetization: 1.1 Bohr magnetons per cell
* energy above the lowest structure with this stoichiometry: 0.00 kcal/mol of atoms

Lattice parameters (Å, degrees): 4.4176 4.4176 9.3962 103.60 103.60 90.00
With the nearest neighbours (Å) after each atom.
Element x y z (fractional)
Ce: 0.5000 0.0000 0.0000  4 Ce 3.12, 4 Pb 3.37
Ce: 0.0000 0.5000 0.0000  4 Ce 3.12, 4 Pb 3.37
Pb: 0.6434 0.6434 0.2868  5 Ho 3.18-3.19, 4 Ce 3.37
Pb: 0.3566 0.3566 0.7132  5 Ho 3.18-3.19, 4 Ce 3.37
Ho: 0.1766 0.1766 0.3531  5 Pb 3.18-3.19
Ho: 0.8234 0.8234 0.6469  5 Pb 3.18-3.19



# 5
First-principles (PBE) data for SiTcPbO6 after structural relaxation, as listed in the Alexandria database.

Properties
* raw formation energy: -1702.7 meV/atom
* final energy: -7.175 eV/atom
* spin magnetization: 1.0 Bohr magnetons per cell

Lattice parameters (Å, degrees): 5.0359 5.0359 5.3481 90.00 90.00 59.99
With the nearest neighbours (Å) after each atom.
Element x y z (fractional)
O: 0.9809 0.4012 0.3052  1 Si 1.81, 1 Tc 1.94
Tc: 0.3333 0.3333 0.5000  6 O 1.94
O: 0.9808 0.6179 0.6948  1 Si 1.81, 1 Tc 1.94
O: 0.6179 0.4012 0.6948  1 Si 1.81, 1 Tc 1.94
O: 0.4012 0.6179 0.3052  1 Si 1.81, 1 Tc 1.94
O: 0.4012 0.9809 0.6948  1 Si 1.81, 1 Tc 1.94
O: 0.6179 0.9809 0.3052  1 Si 1.81, 1 Tc 1.94
Si: 0.6666 0.6667 0.5000  6 O 1.81
Pb: 0.0000 0.0001 0.0000  6 O 2.56



# 6
First-principles (PBE) data for Si2BrN after structural relaxation, as listed in the Alexandria database.

Properties
* raw formation energy: 482.1 meV/atom
* final energy: -4.729 eV/atom
* spin magnetization: 0.0 Bohr magnetons per cell
* energy above the lowest structure with this stoichiometry: 0.00 kcal/mol of atoms

Lattice parameters (Å, degrees): 4.7198 4.7198 7.0566 70.46 70.46 90.00
With the nearest neighbours (Å) after each atom.
Element x y z (fractional)
Br: 0.0000 0.0000 0.0000  8 Si 2.96-3.17
Si: 0.4039 0.1250 0.2500  2 N 1.96
Br: 0.7500 0.2500 0.5000  8 Si 2.96-3.17
Si: 0.8750 0.6539 0.7500  2 N 1.96
Si: 0.3750 0.5961 0.7500  2 N 1.96
N: 0.5000 0.5000 0.0000  4 Si 1.96
N: 0.2500 0.7500 0.5000  4 Si 1.96
Si: 0.3461 0.6250 0.2500  2 N 1.96



# 7
First-principles (PBE) data for Ce2YCuC after structural relaxation, as listed in the Alexandria database.

Properties
* final energy: -6.314 eV/atom
* DFT formation energy: 0.02 eV/atom
* spin magnetization: 0.9 Bohr magnetons per cell

Lattice parameters (Å, degrees): 4.8722 4.8722 4.8801 90.00 90.00 90.00
With the nearest neighbours (Å) after each atom.
Element x y z (fractional)
Cu: 0.5000 0.5000 0.5001  4 Y 3.45, 8 Ce 3.45
Ce: 0.0000 0.5000 0.9999  2 C 2.44
C: 0.0000 0.0000 0.0000  4 Ce 2.44, 2 Y 2.44
Ce: 0.5000 0.0000 0.0000  2 C 2.44
Y: 0.0000 0.0000 0.5000  2 C 2.44



# 8
First-principles (PBE) data for NbHPd2Br after structural relaxation, as listed in the Alexandria database.

Properties
* final energy: -3.746 eV/atom
* spin magnetization: 1.3 Bohr magnetons per cell

Lattice parameters (Å, degrees): 4.7030 4.9071 4.7030 90.00 90.00 90.00
With the nearest neighbours (Å) after each atom.
Element x y z (fractional)
Pd: 0.5000 0.0000 0.0000  2 Br 2.35
Nb: 0.0000 0.5000 0.0000  2 Br 2.45
Pd: 0.0000 0.0000 0.5000  2 Br 2.35
H: 0.5000 0.5000 0.5000  4 Nb 3.33, 8 Pd 3.40
Br: 0.0000 0.0000 0.0000  4 Pd 2.35, 2 Nb 2.45



# 9
First-principles (PBE) data for KDy2MgTe4 after structural relaxation, as listed in the Alexandria database.

Properties
* raw formation energy: -1172.3 meV/atom
* final energy: -4.230 eV/atom
* spin magnetization: 0.0 Bohr magnetons per cell

Lattice parameters (Å, degrees): 4.4474 7.9077 15.7665 90.00 90.00 106.33
With the nearest neighbours (Å) after each atom.
Element x y z (fractional)
Mg: 0.8400 0.6799 0.7500  4 Te 2.74-2.75
Te: 0.5536 0.1072 0.2500  2 Mg 2.75
Dy: 0.6259 0.2517 0.4438  6 Te 3.06-3.25
K: 0.8784 0.7568 0.2500  6 Te 3.47-3.58
Te: 0.4464 0.8928 0.7500  2 Mg 2.75
Dy: 0.3741 0.7483 0.9438  6 Te 3.06-3.25
Dy: 0.6259 0.2517 0.0562  6 Te 3.06-3.25
K: 0.1216 0.2432 0.7500  6 Te 3.47-3.58
Te: 0.7341 0.4682 0.6090  1 Mg 2.74
Dy: 0.3741 0.7483 0.5562  6 Te 3.06-3.25
Te: 0.0000 0.0000 0.0000  4 Dy 3.06
Te: 0.7341 0.4682 0.8910  1 Mg 2.74
Mg: 0.1600 0.3201 0.2500  4 Te 2.74-2.75
Te: 0.2659 0.5318 0.3910  1 Mg 2.74
Te: 0.2659 0.5318 0.1090  1 Mg 2.74
Te: 0.0000 0.0000 0.5000  4 Dy 3.06



# 10
First-principles (PBE) data for Pr3Y6Er2Th after structural relaxation, as listed in the Alexandria database.

Properties
* final energy: -5.786 eV/atom
* DFT formation energy: 0.02 eV/atom
* spin magnetization: 0.0 Bohr magnetons per cell

Lattice parameters (Å, degrees): 6.2369 6.2369 11.8934 95.03 95.03 119.98
With the nearest neighbours (Å) after each atom.
Element x y z (fractional)
Pr: 0.5000 0.5000 0.5000  6 Pr 3.60, 6 Y 3.63-3.65
Y: 0.5880 0.9180 0.7551  1 Th 3.53, 2 Er 3.55, 6 Y 3.57-3.62, 3 Pr 3.63-3.65
Y: 0.2481 0.2481 0.7551  1 Th 3.53, 2 Er 3.55, 6 Y 3.57-3.62, 3 Pr 3.63-3.65
Er: 0.6667 0.3333 0.0000  6 Y 3.55, 3 Th 3.60, 3 Er 3.60
Pr: 0.1670 0.8330 0.5000  6 Pr 3.60-3.61, 6 Y 3.63-3.65
Y: 0.4120 0.0820 0.2449  1 Th 3.53, 2 Er 3.55, 6 Y 3.57-3.62, 3 Pr 3.63-3.65
Y: 0.9180 0.5880 0.7551  1 Th 3.53, 2 Er 3.55, 6 Y 3.57-3.62, 3 Pr 3.63-3.65
Pr: 0.8330 0.1670 0.5000  6 Pr 3.60-3.61, 6 Y 3.63-3.65
Er: 0.3333 0.6667 0.0000  6 Y 3.55, 3 Th 3.60, 3 Er 3.60
Th: 0.0000 0.0000 0.0000  6 Y 3.53, 6 Er 3.60
Y: 0.0820 0.4120 0.2449  1 Th 3.53, 2 Er 3.55, 6 Y 3.57-3.62, 3 Pr 3.63-3.65
Y: 0.7519 0.7519 0.2449  1 Th 3.53, 2 Er 3.55, 6 Y 3.57-3.62, 3 Pr 3.63-3.65



# 11
First-principles (PBE) data for Cd3Cu5 after structural relaxation, as listed in the Alexandria database.

Properties
* final energy: -2.821 eV/atom
* DFT formation energy: 0.08 eV/atom
* spin magnetization: 0.0 Bohr magnetons per cell
* energy above the lowest structure with this stoichiometry: 0.30 kcal/mol of atoms

Lattice parameters (Å, degrees): 5.4186 5.4186 4.4000 90.00 90.00 71.38
With the nearest neighbours (Å) after each atom.
Element x y z (fractional)
Cd: 0.7405 0.7405 0.5000  8 Cu 2.66-2.77
Cu: 0.2166 0.7834 0.5000  3 Cu 2.59-2.74, 6 Cd 2.66-2.84
Cu: 0.0000 0.5000 0.0000  6 Cd 2.71, 2 Cu 2.71
Cd: 0.5000 0.5000 0.0000  8 Cu 2.71-2.84
Cu: 0.5000 0.0000 0.0000  2 Cu 2.71, 6 Cd 2.71
Cu: 0.7834 0.2166 0.5000  3 Cu 2.59-2.74, 6 Cd 2.66-2.84
Cd: 0.2595 0.2595 0.5000  8 Cu 2.66-2.77
Cu: 0.0000 0.0000 0.0000  8 Cu 2.59-2.71



# 12
First-principles (PBE) data for SrSnRuO6 after structural relaxation, as listed in the Alexandria database.

Properties
* raw formation energy: -1415.7 meV/atom
* final energy: -6.383 eV/atom
* spin magnetization: 0.0 Bohr magnetons per cell

Lattice parameters (Å, degrees): 5.0404 5.0404 10.1469 90.00 90.00 90.00
With the nearest neighbours (Å) after each atom.
Element x y z (fractional)
Sr: 0.0000 0.0000 0.9864  4 O 2.35-2.40
Ru: 0.5000 0.5000 0.1542  4 O 1.80-1.90
Sn: 0.5000 0.5000 0.8383  4 O 1.99-2.15
O: 0.8277 0.1723 0.5118  1 Ru 1.90
Sr: 0.5000 0.5000 0.4864  4 O 2.35-2.40
O: 0.7472 0.2528 0.1893  1 Ru 1.80
O: 0.7760 0.2240 0.8094  1 Sn 1.99
O: 0.2472 0.2472 0.6893  1 Ru 1.80
Sn: 0.0000 0.0000 0.3383  4 O 1.99-2.15
O: 0.6723 0.6723 0.0118  1 Ru 1.90
O: 0.7240 0.7240 0.3094  1 Sn 1.99
Ru: 0.0000 0.0000 0.6542  4 O 1.80-1.90
O: 0.3277 0.3277 0.0118  1 Ru 1.90
O: 0.1723 0.8277 0.5118  1 Ru 1.90
O: 0.2240 0.7760 0.8094  1 Sn 1.99
O: 0.2760 0.2760 0.3094  1 Sn 1.99
O: 0.2528 0.7472 0.1893  1 Ru 1.80
O: 0.7528 0.7528 0.6893  1 Ru 1.80



Which of these has the lowest final energy?
SiTcPbO6



What did the fifth record say?
First-principles (PBE) data for SiTcPbO6 after structural relaxation, as listed in the Alexandria database.

Properties
* raw formation energy: -1702.7 meV/atom
* final energy: -7.175 eV/atom
* spin magnetization: 1.0 Bohr magnetons per cell

Lattice parameters (Å, degrees): 5.0359 5.0359 5.3481 90.00 90.00 59.99
With the nearest neighbours (Å) after each atom.
Element x y z (fractional)
O: 0.9809 0.4012 0.3052  1 Si 1.81, 1 Tc 1.94
Tc: 0.3333 0.3333 0.5000  6 O 1.94
O: 0.9808 0.6179 0.6948  1 Si 1.81, 1 Tc 1.94
O: 0.6179 0.4012 0.6948  1 Si 1.81, 1 Tc 1.94
O: 0.4012 0.6179 0.3052  1 Si 1.81, 1 Tc 1.94
O: 0.4012 0.9809 0.6948  1 Si 1.81, 1 Tc 1.94
O: 0.6179 0.9809 0.3052  1 Si 1.81, 1 Tc 1.94
Si: 0.6666 0.6667 0.5000  6 O 1.81
Pb: 0.0000 0.0001 0.0000  6 O 2.56



Look up the spin magnetization of the eighth one.
1.3 Bohr magnetons per cell



Look up the final energy of the second one.
-2.621 eV/atom